# 1
# Sr2In2SnPd5 (PBE, relaxed)
data_Sr2In2SnPd5
_cell_length_a 11.136
_cell_length_b 11.136
_cell_length_c 3.496
_cell_angle_alpha 90.00
_cell_angle_beta 90.00
_cell_angle_gamma 90.00
_symmetry_space_group_name_H-M 'P 4/m b m'
_symmetry_Int_Tables_number 127
_symmetry_space_group_name_Hall '-P 4 2ab'
loop_
_atom_site_label
_atom_site_type_symbol
_atom_site_fract_x
_atom_site_fract_y
_atom_site_fract_z
Sr1 Sr 0.170 0.330 0.000
In1 In 0.130 0.630 0.000
Sn1 Sn 0.000 0.000 0.000
Pd1 Pd 0.000 0.500 0.500
Pd2 Pd 0.060 0.813 0.500
# - DOS(E_F): 7.14 states/eV per cell
# - Electronic total energy: -4.430 eV per atom
# - Energy of formation from the pure elements: -0.55 eV/atom
# - Volume: 21.68 A^3/atom

=====

# 2
# La2ErCu9 (PBE, relaxed)
data_La2ErCu9
_cell_length_a 5.1955
_cell_length_b 5.1955
_cell_length_c 25.6873
_cell_angle_alpha 90.00
_cell_angle_beta 90.00
_cell_angle_gamma 120.00
_symmetry_space_group_name_H-M 'R -3 m'
_symmetry_Int_Tables_number 166
_symmetry_space_group_name_Hall '-R 3 2"'
loop_
_atom_site_label
_atom_site_type_symbol
_atom_site_fract_x
_atom_site_fract_y
_atom_site_fract_z
La1 La 0.0000 0.0000 0.1415
Er1 Er 0.0000 0.0000 0.0000
Cu1 Cu 0.0000 0.0000 0.3317
Cu2 Cu 0.0000 0.0000 0.5000
Cu3 Cu 0.0049 0.5024 0.0783
# - DOS(E_F): 22.21 states/eV per cell
# - Electronic total energy: -4.418 eV per atom
# - Energy of formation from the pure elements: -0.14 eV/atom
# - Volume: 16.68 A^3/atom

=====

# 3
# BeCd3Os (PBE, relaxed)
data_BeCd3Os
_cell_length_a 5.189
_cell_length_b 5.189
_cell_length_c 5.189
_cell_angle_alpha 90.00
_cell_angle_beta 90.00
_cell_angle_gamma 90.00
_symmetry_space_group_name_H-M 'P m -3 m'
_symmetry_Int_Tables_number 221
_symmetry_space_group_name_Hall '-P 4 2 3'
loop_
_atom_site_label
_atom_site_type_symbol
_atom_site_fract_x
_atom_site_fract_y
_atom_site_fract_z
Be1 Be 0.000 0.000 0.000
Cd1 Cd 0.000 0.500 0.500
Os1 Os 0.500 0.500 0.500
# - Energy above the most stable polymorph in this dataset: 205 meV/atom
# - DOS(E_F): 4.57 states/eV per cell
# - Electronic total energy: -2.202 eV per atom
# - Energy of formation from the pure elements: 1.34 eV/atom
# - Volume: 27.94 A^3/atom

=====

# 4
# Ho2MgBiO6 (PBE, relaxed)
data_Ho2MgBiO6
_cell_length_a 5.6953
_cell_length_b 5.6953
_cell_length_c 14.9598
_cell_angle_alpha 90.00
_cell_angle_beta 90.00
_cell_angle_gamma 120.00
_symmetry_space_group_name_H-M 'R 3'
_symmetry_Int_Tables_number 146
_symmetry_space_group_name_Hall 'R 3'
loop_
_atom_site_label
_atom_site_type_symbol
_atom_site_fract_x
_atom_site_fract_y
_atom_site_fract_z
Ho1 Ho 0.0000 0.0000 0.0000
Ho2 Ho 0.0000 0.0000 0.4955
Mg1 Mg 0.0000 0.0000 0.7123
Bi1 Bi 0.0000 0.0000 0.2137
O1 O 0.0429 0.6850 0.7731
O2 O 0.0500 0.3807 0.2760
# - Formation energy (no corrections): -2.5691 eV/atom
# - DOS(E_F): 10.04 states/eV per cell
# - Electronic total energy: -7.007 eV per atom
# - Volume: 14.01 A^3/atom

=====

# 5
# K2YZr (PBE, relaxed)
data_K2YZr
_cell_length_a 4.676
_cell_length_b 4.676
_cell_length_c 6.951
_cell_angle_alpha 90.00
_cell_angle_beta 90.00
_cell_angle_gamma 90.00
_symmetry_space_group_name_H-M 'P 4/m m m'
_symmetry_Int_Tables_number 123
_symmetry_space_group_name_Hall '-P 4 2'
loop_
_atom_site_label
_atom_site_type_symbol
_atom_site_fract_x
_atom_site_fract_y
_atom_site_fract_z
K1 K 0.000 0.500 0.000
Y1 Y 0.000 0.000 0.500
Zr1 Zr 0.500 0.500 0.500
# - Energy above the most stable polymorph in this dataset: 475 meV/atom
# - DOS(E_F): 5.79 states/eV per cell
# - Electronic total energy: -3.438 eV per atom
# - Energy of formation from the pure elements: 0.86 eV/atom
# - Volume: 38.00 A^3/atom

=====

# 6
# PmDy2Ho5Sc (PBE, relaxed)
data_PmDy2Ho5Sc
_cell_length_a 5.545
_cell_length_b 19.640
_cell_length_c 10.360
_cell_angle_alpha 90.00
_cell_angle_beta 90.00
_cell_angle_gamma 90.00
_symmetry_space_group_name_H-M 'C m c 21'
_symmetry_Int_Tables_number 36
loop_
_symmetry_equiv_pos_as_xyz
'x,y,z'
'-x,-y,z+1/2'
'-x,y,z'
'x,-y,z+1/2'
'x+1/2,y+1/2,z'
'-x+1/2,-y+1/2,z+1/2'
'-x+1/2,y+1/2,z'
'x+1/2,-y+1/2,z+1/2'
loop_
_atom_site_label
_atom_site_type_symbol
_atom_site_fract_x
_atom_site_fract_y
_atom_site_fract_z
Pm1 Pm 0.000 0.087 0.000
Dy1 Dy 0.000 0.386 0.281
Dy2 Dy 0.000 0.389 0.860
Ho1 Ho 0.000 0.019 0.284
Ho2 Ho 0.000 0.123 0.566
Ho3 Ho 0.000 0.202 0.251
Ho4 Ho 0.000 0.223 0.867
Ho5 Ho 0.000 0.481 0.565
Sc1 Sc 0.000 0.304 0.560
# - DOS(E_F): 56.68 states/eV per cell
# - Electronic total energy: -4.627 eV per atom
# - Energy of formation from the pure elements: 0.17 eV/atom
# - Volume: 31.34 A^3/atom

=====

# 7
# Ta2CrIr (PBE, relaxed)
data_Ta2CrIr
_cell_length_a 5.560
_cell_length_b 8.616
_cell_length_c 2.783
_cell_angle_alpha 90.00
_cell_angle_beta 109.48
_cell_angle_gamma 90.00
_symmetry_space_group_name_H-M 'C 1 2/m 1'
_symmetry_Int_Tables_number 12
loop_
_symmetry_equiv_pos_as_xyz
'x,y,z'
'-x,-y,-z'
'-x,y,-z'
'x,-y,z'
'x+1/2,y+1/2,z'
'-x+1/2,-y+1/2,-z'
'-x+1/2,y+1/2,-z'
'x+1/2,-y+1/2,z'
loop_
_atom_site_label
_atom_site_type_symbol
_atom_site_fract_x
_atom_site_fract_y
_atom_site_fract_z
Ta1 Ta 0.250 0.250 0.000
Cr1 Cr 0.000 0.000 0.500
Ir1 Ir 0.000 0.500 0.500
# - DOS(E_F): 6.17 states/eV per cell
# - Electronic total energy: -10.683 eV per atom
# - Energy of formation from the pure elements: -0.14 eV/atom
# - Volume: 15.71 A^3/atom

=====

# 8
# HfAl2HgTe (PBE, relaxed)
data_HfAl2HgTe
_cell_length_a 4.790
_cell_length_b 4.790
_cell_length_c 6.125
_cell_angle_alpha 90.00
_cell_angle_beta 90.00
_cell_angle_gamma 90.00
_symmetry_space_group_name_H-M 'P 4/m m m'
_symmetry_Int_Tables_number 123
_symmetry_space_group_name_Hall '-P 4 2'
loop_
_atom_site_label
_atom_site_type_symbol
_atom_site_fract_x
_atom_site_fract_y
_atom_site_fract_z
Hf1 Hf 0.000 0.000 0.000
Al1 Al 0.000 0.500 0.500
Hg1 Hg 0.500 0.500 0.500
Te1 Te 0.500 0.500 0.000
# - Formation energy (no corrections): 0.8960 eV/atom
# - DOS(E_F): 5.11 states/eV per cell
# - Electronic total energy: -3.280 eV per atom
# - Volume: 28.11 A^3/atom

=====

- What is the DOS(E_F) in the fourth record?
  10.04 states/eV per cell